1.
DFT (PBE) results for crystalline Y2Sc4Zn3N3 at its relaxed geometry.

Results
size of the total moment	0.66	μB/f.u.
V	16.5	A^3/atom
calculated total energy	-6.63	eV per atom

Lattice parameters (Å, degrees): 5.645 5.645 14.706 101.32 101.32 60.05
Atoms (fractional coordinates):
Y  0.039  0.874  0.613
Y  0.126  0.961  0.887
Y  0.874  0.039  0.113
Y  0.961  0.126  0.387
Sc  0.193  0.355  0.080
Sc  0.300  0.480  0.420
Sc  0.355  0.193  0.580
Sc  0.480  0.300  0.920
Sc  0.520  0.700  0.080
Sc  0.645  0.807  0.420
Sc  0.700  0.520  0.580
Sc  0.807  0.645  0.920
Zn  0.085  0.400  0.750
Zn  0.400  0.085  0.250
Zn  0.430  0.570  0.250
Zn  0.570  0.430  0.750
Zn  0.600  0.915  0.750
Zn  0.915  0.600  0.250
N  0.000  0.500  0.500
N  0.170  0.660  0.000
N  0.340  0.830  0.500
N  0.500  0.000  0.000
N  0.660  0.170  0.500
N  0.830  0.340  0.000



2.
DFT (PBE) results for crystalline Y4Sc2Zn3N3 at its relaxed geometry.

Results
size of the total moment	0.43	μB/f.u.
V	18.1	A^3/atom
calculated total energy	-6.56	eV per atom

Lattice parameters (Å, degrees): 5.931 5.931 14.681 101.49 101.49 59.91
Atoms (fractional coordinates):
Y  0.040  0.193  0.101
Y  0.126  0.301  0.399
Y  0.193  0.040  0.601
Y  0.301  0.126  0.899
Y  0.699  0.874  0.101
Y  0.807  0.960  0.399
Y  0.874  0.699  0.601
Y  0.960  0.807  0.899
Sc  0.350  0.525  0.074
Sc  0.475  0.650  0.426
Sc  0.525  0.350  0.574
Sc  0.650  0.475  0.926
Zn  0.159  0.841  0.250
Zn  0.331  0.413  0.751
Zn  0.413  0.331  0.251
Zn  0.587  0.669  0.749
Zn  0.669  0.587  0.249
Zn  0.841  0.159  0.750
N  0.000  0.500  0.000
N  0.175  0.663  0.500
N  0.337  0.825  0.000
N  0.500  0.000  0.500
N  0.663  0.175  0.000
N  0.825  0.337  0.500